The following is a PBE calculation of a relaxed structure of K2NiOs, from Alexandria.

The structure in extended XYZ format:
```
8
Lattice="20.3027 0.0000 0.0000 0.0000 2.7429 0.0000 -0.8615 0.0000 4.0968" Properties=species:S:1:pos:R:3 pbc="T T T"
K 2.7119 0.0000 0.5633
K 6.5779 1.3715 3.5335
K 12.8633 1.3715 0.5633
K 16.7293 0.0000 3.5335
Ni 0.0000 1.3715 0.0000
Ni 10.1514 0.0000 0.0000
Os -0.4308 0.0000 2.0484
Os 9.7206 1.3715 2.0484
```

Output
Polymorph energy (0 for the lowest one) (eV/atom): 0.0826
DOS at the Fermi energy (states/eV per cell): 5.548
ΔE_f (eV/atom): 0.78
Total magnetic moment (μB/cell): 1.8